First-principles (PBE) data for crystalline HCl2F at its relaxed geometry, as listed in Alexandria.

a = 4.3398 Å, b = 4.3398 Å, c = 4.3398 Å
α = 60.00°, β = 60.00°, γ = 60.00°
Closest atoms and distances in Å follow each position.
Sites, in units of the cell vectors:
H: 0.0000 0.0000 0.0000  8 Cl 2.66
Cl: 0.2500 0.2500 0.2500  4 H 2.66, 4 F 2.66
Cl: 0.7500 0.7500 0.7500  4 F 2.66, 4 H 2.66
F: 0.5000 0.5000 0.5000  8 Cl 2.66

## Properties
E above lowest polymorph: 1626 meV/atom